(1)
Entry from Alexandria: crystalline Cu2GeAu at its relaxed geometry (PBE-GGA).

a b c (Å): 4.4015 5.1422 10.6530
angles (deg): 90.00 90.00 90.00
Closest atoms and distances in Å follow each position.
Atoms (fractional coordinates):
Au1 0.7500 0.4598 0.6781  3 Ge 2.68-2.78, 7 Cu 2.70-2.84, 2 Au 2.99
Ge1 0.7500 0.3318 0.4241  5 Cu 2.47-2.66, 2 Au 2.68
Ge2 0.2500 0.1682 0.9241  5 Cu 2.47-2.66, 2 Au 2.68
Au2 0.7500 0.9598 0.8219  3 Ge 2.68-2.78, 7 Cu 2.70-2.84, 2 Au 2.99
Ge3 0.7500 0.8318 0.0759  5 Cu 2.47-2.66, 2 Au 2.68
Au3 0.2500 0.5402 0.3219  3 Ge 2.68-2.78, 7 Cu 2.70-2.84, 2 Au 2.99
Cu1 0.2500 0.1264 0.6785  2 Ge 2.60-2.63, 3 Cu 2.64-2.66, 4 Au 2.79-2.81
Cu2 0.2500 0.0432 0.4316  3 Ge 2.47-2.66, 5 Cu 2.64-2.68, 1 Au 2.70
Au4 0.2500 0.0402 0.1781  3 Ge 2.68-2.78, 7 Cu 2.70-2.84, 2 Au 2.99
Cu3 0.7500 0.9568 0.5684  3 Ge 2.47-2.66, 5 Cu 2.64-2.68, 1 Au 2.70
Ge4 0.2500 0.6682 0.5759  5 Cu 2.47-2.66, 2 Au 2.68
Cu4 0.7500 0.8736 0.3215  2 Ge 2.60-2.63, 3 Cu 2.64-2.66, 4 Au 2.79-2.81
Cu5 0.7500 0.3736 0.1785  2 Ge 2.60-2.63, 3 Cu 2.64-2.66, 4 Au 2.79-2.81
Cu6 0.7500 0.4568 0.9316  3 Ge 2.47-2.66, 5 Cu 2.64-2.68, 1 Au 2.70
Cu7 0.2500 0.6264 0.8215  2 Ge 2.60-2.63, 3 Cu 2.64-2.66, 4 Au 2.79-2.81
Cu8 0.2500 0.5432 0.0684  3 Ge 2.47-2.66, 5 Cu 2.64-2.68, 1 Au 2.70

Calculated values
Energy   -3.9970 eV/atom
M_tot   0.000 μB per cell

***

(2)
Entry from Alexandria: crystalline Cu4GeAu3 at its relaxed geometry (PBE-GGA).

a b c (Å): 3.2514 3.2514 11.3228
angles (deg): 90.00 90.00 90.00
Closest atoms and distances in Å follow each position.
Atoms (fractional coordinates):
Cu1 0.0000 0.0000 0.6274  8 Au 2.71, 2 Cu 2.89-2.90
Au1 0.5000 0.5000 0.7541  8 Cu 2.71-2.73, 1 Ge 2.78, 1 Au 2.88
Cu2 0.0000 0.0000 0.8834  2 Cu 2.64-2.90, 4 Ge 2.65, 4 Au 2.73
Au2 0.5000 0.5000 0.2459  8 Cu 2.71-2.73, 1 Ge 2.78, 1 Au 2.88
Au3 0.5000 0.5000 0.5000  8 Cu 2.71, 2 Au 2.88
Cu3 0.0000 0.0000 0.3726  8 Au 2.71, 2 Cu 2.89-2.90
Ge1 0.5000 0.5000 0.0000  8 Cu 2.65, 2 Au 2.78
Cu4 0.0000 0.0000 0.1166  2 Cu 2.64-2.90, 4 Ge 2.65, 4 Au 2.73

Calculated values
M_tot   0.000 μB per cell
Energy above the lowest structure with this stoichiometry   0.0 meV/atom

***

(3)
Entry from Alexandria: crystalline Cu15Ge2Au2 at its relaxed geometry (PBE-GGA).

a b c (Å): 6.4485 6.4485 6.4485
angles (deg): 81.75 81.75 81.75
Closest atoms and distances in Å follow each position.
Atoms (fractional coordinates):
Cu1 0.3409 0.6591 0.0000  7 Cu 2.52-2.69
Cu2 0.0000 0.3409 0.6591  7 Cu 2.52-2.69
Cu3 0.3329 0.8282 0.3329  8 Cu 2.41-2.53, 1 Ge 2.58
Cu4 0.5000 0.0000 0.0000  8 Cu 2.45-2.56, 2 Ge 2.57
Cu5 0.0000 0.5000 0.0000  8 Cu 2.45-2.56, 2 Ge 2.57
Cu6 0.6591 0.0000 0.3409  7 Cu 2.52-2.69
Cu7 0.0000 0.0000 0.5000  8 Cu 2.45-2.56, 2 Ge 2.57
Cu8 0.6591 0.3409 0.0000  7 Cu 2.52-2.69
Au1 0.6257 0.6257 0.6257  12 Cu 2.83-2.91
Au2 0.3743 0.3743 0.3743  12 Cu 2.83-2.91
Cu9 0.6671 0.6671 0.1718  8 Cu 2.41-2.53, 1 Ge 2.58
Cu10 0.3329 0.3329 0.8282  8 Cu 2.41-2.53, 1 Ge 2.58
Cu11 0.8282 0.3329 0.3329  8 Cu 2.41-2.53, 1 Ge 2.58
Cu12 0.6671 0.1718 0.6671  8 Cu 2.41-2.53, 1 Ge 2.58
Cu13 0.0000 0.6591 0.3409  7 Cu 2.52-2.69
Cu14 0.3409 0.0000 0.6591  7 Cu 2.52-2.69
Ge1 0.8973 0.8973 0.8973  6 Cu 2.57-2.58, 1 Ge 2.60
Cu15 0.1718 0.6671 0.6671  8 Cu 2.41-2.53, 1 Ge 2.58
Ge2 0.1027 0.1027 0.1027  6 Cu 2.57-2.58, 1 Ge 2.60

Calculated values
Energy   -3.9824 eV/atom
M_tot   0.000 μB per cell